First-principles (PBE) data for crystalline AcPr3Sm6Ho2 at its relaxed geometry, as listed in Alexandria via LeMat-Bulk.

Results
- theoretical density (g/cm³) = 7.49
- formation energy from the elements (eV/atom) = 0.0253
- symmetry = C2/m

Cell: 6.338 6.338 12.169 Å, 94.98 94.98 119.97°
Atoms (fractional coordinates):
Ac 0.000 0.000 0.000
Pr 0.167 0.833 0.500
Pr 0.833 0.167 0.500
Pr 0.500 0.500 0.500
Sm 0.916 0.580 0.750
Sm 0.747 0.747 0.250
Sm 0.084 0.420 0.250
Sm 0.580 0.916 0.750
Sm 0.253 0.253 0.750
Sm 0.420 0.084 0.250
Ho 0.333 0.667 0.000
Ho 0.667 0.333 0.000



First-principles (PBE) data for crystalline AcPr3SmHo at its relaxed geometry, as listed in Alexandria via LeMat-Bulk.

Results
- theoretical density (g/cm³) = 7.24
- formation energy from the elements (eV/atom) = 0.1926
- symmetry = C2/m

Cell: 5.939 10.883 7.125 Å, 91.43 90.00 105.83°
Atoms (fractional coordinates):
Ac 0.352 0.704 0.968
Ac 0.648 0.296 0.032
Pr 0.841 0.681 0.256
Pr 0.781 0.563 0.723
Pr 0.484 0.968 0.256
Pr 0.219 0.437 0.277
Pr 0.516 0.032 0.744
Pr 0.159 0.319 0.744
Sm 0.057 0.113 0.286
Sm 0.943 0.887 0.714
Ho 0.642 0.284 0.489
Ho 0.358 0.716 0.511



First-principles (PBE) data for crystalline AcPrSm2Ho4 at its relaxed geometry, as listed in Alexandria via LeMat-Bulk.

Results
- theoretical density (g/cm³) = 7.89
- formation energy from the elements (eV/atom) = 0.4274
- symmetry = Imma

Cell: 9.656 9.656 11.990 Å, 128.37 128.37 88.39°
Site moments in Bohr magnetons follow the coordinates.
Atoms (fractional coordinates):
Ac 0.000 0.500 0.000  0.03
Ac 0.000 0.500 0.500  0.03
Pr 0.500 0.500 0.500  0.08
Pr 0.000 0.000 0.000  0.08
Sm 0.500 0.000 0.000  0.09
Sm 0.500 0.000 0.500  0.09
Sm 0.000 0.000 0.500  0.08
Sm 0.500 0.500 0.000  0.08
Ho 0.265 0.760 0.013  0.06
Ho 0.740 0.235 0.487  0.06
Ho 0.260 0.765 0.513  0.06
Ho 0.735 0.240 0.987  0.06
Ho 0.742 0.758 0.003  0.12
Ho 0.742 0.758 0.497  0.12
Ho 0.258 0.242 0.503  0.12
Ho 0.258 0.242 0.997  0.12



First-principles (PBE) data for crystalline Ac2Pr4SmHo at its relaxed geometry, as listed in Alexandria via LeMat-Bulk.

Results
- theoretical density (g/cm³) = 7.43
- formation energy from the elements (eV/atom) = 0.0326
- symmetry = P2/m

Cell: 3.773 6.423 12.500 Å, 79.58 90.00 90.00°
Atoms (fractional coordinates):
Ac 0.000 0.000 0.000
Ac 0.500 0.000 0.500
Pr 0.000 0.746 0.752
Pr 0.000 0.254 0.248
Pr 0.500 0.745 0.254
Pr 0.500 0.255 0.746
Sm 0.500 0.500 0.000
Ho 0.000 0.500 0.500



First-principles (PBE) data for crystalline AcPr6SmHo2 at its relaxed geometry, as listed in Alexandria via LeMat-Bulk.

Results
- theoretical density (g/cm³) = 7.12
- formation energy from the elements (eV/atom) = 0.1156
- symmetry = C2/c

Cell: 9.888 9.103 9.103 Å, 117.24 93.35 93.35°
Atoms (fractional coordinates):
Ac 0.250 0.970 0.030
Ac 0.750 0.030 0.970
Pr 0.054 0.116 0.753
Pr 0.446 0.247 0.884
Pr 0.946 0.884 0.247
Pr 0.554 0.753 0.116
Pr 0.318 0.989 0.446
Pr 0.182 0.554 0.011
Pr 0.682 0.011 0.554
Pr 0.818 0.446 0.989
Pr 0.119 0.706 0.489
Pr 0.381 0.511 0.294
Pr 0.881 0.294 0.511
Pr 0.619 0.489 0.706
Sm 0.250 0.410 0.590
Sm 0.750 0.590 0.410
Ho 0.452 0.798 0.693
Ho 0.048 0.307 0.202
Ho 0.548 0.202 0.307
Ho 0.952 0.693 0.798



First-principles (PBE) data for crystalline AcPr2Sm4Ho at its relaxed geometry, as listed in Alexandria via LeMat-Bulk.

Results
- theoretical density (g/cm³) = 7.50
- formation energy from the elements (eV/atom) = 0.0257
- symmetry = Pmmm

Cell: 5.215 5.199 11.640 Å, 63.45 90.00 90.00°
Atoms (fractional coordinates):
Ac 0.500 0.500 0.000
Pr 0.000 0.000 0.000
Pr 0.500 0.000 0.500
Sm 0.000 0.758 0.742
Sm 0.000 0.242 0.258
Sm 0.500 0.742 0.258
Sm 0.500 0.258 0.742
Ho 0.000 0.500 0.500